--- 1 ---
The following is a DFT calculation (PBE) of Zn2CoCu5 after structural relaxation.

Computed properties:
- Mass density: 8.78 g cm⁻³

a = 4.060 Å, b = 4.060 Å, c = 5.821 Å
α = 90.00°, β = 90.00°, γ = 90.00°
Space group P4/mmm (No. 123)
Symmetry-distinct sites (fractional):
Zn: 0.000 0.000 0.000 x1
Zn: 0.500 0.500 0.500 x1
Co: 0.000 0.000 0.500 x1
Cu: 0.000 0.500 0.252 x4
Cu: 0.500 0.500 0.000 x1

--- 2 ---
The following is a DFT calculation (PBE) of Zn2CoCu5 after structural relaxation.

Computed properties:
- Mass density: 8.78 g cm⁻³

a = 4.042 Å, b = 4.042 Å, c = 5.873 Å
α = 90.00°, β = 90.00°, γ = 90.00°
Space group P4/mmm (No. 123)
Symmetry-distinct sites (fractional):
Zn: 0.000 0.000 0.000 x1
Zn: 0.500 0.500 0.500 x1
Co: 0.000 0.000 0.500 x1
Cu: 0.000 0.500 0.253 x4
Cu: 0.500 0.500 0.000 x1

--- 3 ---
The following is a DFT calculation (PBE) of Zn2CoCu5 after structural relaxation.

Computed properties:
- Mass density: 8.74 g cm⁻³

a = 4.195 Å, b = 5.128 Å, c = 8.967 Å
α = 90.00°, β = 90.00°, γ = 90.00°
Space group Amm2 (No. 38)
Symmetry-distinct sites (fractional):
Zn: 0.000 0.000 0.000 x2
Zn: 0.500 0.000 0.336 x2
Co: 0.000 0.000 0.499 x2
Cu: 0.000 0.249 0.748 x4
Cu: 0.500 0.000 0.832 x2
Cu: 0.500 0.244 0.583 x4

Looking at the structures above, which would you pick as the most stable? I would pick 3.